No. 1
A geometry-optimized Ni2Pt structure. Source: Alexandria, functional GGA-PBEsol.

Unit cell a=4.6575 b=4.6575 c=4.6575 alpha=60.00 beta=60.00 gamma=60.00
With the nearest neighbours (Å) after each atom.
Element x y z (fractional)
Ni1 0.0000 0.0000 0.0000  6 Ni 2.33
Ni2 0.0000 0.0000 0.5000  6 Ni 2.33
Ni3 0.0000 0.5000 0.0000  6 Ni 2.33
Ni4 0.5000 0.0000 0.0000  6 Ni 2.33
Pt1 0.3750 0.3750 0.3750  12 Ni 2.73, 4 Pt 2.85
Pt2 0.6250 0.6250 0.6250  12 Ni 2.73, 4 Pt 2.85

Computed properties:
Energy of formation ... 0.5 kcal/mol of atoms
SG ... Fd-3m, No. 227
Electronic total energy ... -6.4039 eV/atom


No. 2
A geometry-optimized Tl2ZnFeF structure. Source: Alexandria, functional GGA-PBEsol.

Unit cell a=5.3128 b=5.3128 c=3.6928 alpha=90.00 beta=90.00 gamma=90.00
With the nearest neighbours (Å) after each atom.
Element x y z (fractional)
Tl1 0.0000 0.5000 0.0000  2 Fe 2.66
Tl2 0.5000 0.0000 0.0000  2 Fe 2.66
Zn1 0.0000 0.0000 0.5000  8 Tl 3.24
Fe1 0.5000 0.5000 0.0000  2 F 1.85
F1 0.5000 0.5000 0.5000  2 Fe 1.85

Computed properties:
E_form (uncorrected) ... -0.60 eV per formula unit
SG ... P4/mmm, No. 123
Electronic total energy ... -3.6673 eV/atom


No. 3
A geometry-optimized ZrAu2Se structure. Source: Alexandria, functional GGA-PBEsol.

Unit cell a=3.4469 b=3.4469 c=6.2872 alpha=90.00 beta=90.00 gamma=90.00
With the nearest neighbours (Å) after each atom.
Element x y z (fractional)
Zr1 0.0000 0.0000 0.0000  4 Se 2.73, 4 Au 2.99
Au1 0.0000 0.0000 0.4884  4 Au 2.78, 1 Zr 3.07
Au2 0.5000 0.5000 0.2767  4 Au 2.78, 1 Se 2.96, 4 Zr 2.99
Se1 0.5000 0.5000 0.8054  4 Zr 2.73, 1 Au 2.96

Computed properties:
E_form (uncorrected) ... -2.18 eV per formula unit
SG ... P4mm, No. 99
Electronic total energy ... -5.7415 eV/atom


No. 4
A geometry-optimized ZrTeMo2 structure. Source: Alexandria, functional GGA-PBEsol.

Unit cell a=3.0654 b=3.0654 c=8.5792 alpha=90.00 beta=90.00 gamma=112.37
With the nearest neighbours (Å) after each atom.
Element x y z (fractional)
Zr1 0.0000 0.0000 0.0000  4 Mo 2.76, 4 Zr 3.07
Te1 0.0000 0.0000 0.5000  4 Mo 2.72
Mo1 0.5000 0.5000 0.2528  2 Te 2.72, 2 Zr 2.76
Mo2 0.5000 0.5000 0.7472  2 Te 2.72, 2 Zr 2.76

Computed properties:
E_form (uncorrected) ... 1.73 eV per formula unit
SG ... Cmmm, No. 65
Electronic total energy ... -8.6053 eV/atom


No. 5
A geometry-optimized ZnTc structure. Source: Alexandria, functional GGA-PBEsol.

Unit cell a=4.5291 b=4.5291 c=4.7250 alpha=96.94 beta=96.94 gamma=34.82
With the nearest neighbours (Å) after each atom.
Element x y z (fractional)
Zn1 0.1243 0.1243 0.3952  5 Zn 2.48-2.71, 7 Tc 2.71-2.76
Zn2 0.8757 0.8757 0.6048  5 Zn 2.48-2.71, 7 Tc 2.71-2.76
Tc1 0.3759 0.3759 0.1018  5 Tc 2.46-2.71, 5 Zn 2.71-2.74
Tc2 0.6241 0.6241 0.8982  5 Tc 2.46-2.71, 5 Zn 2.71-2.74

Computed properties:
Energy of formation ... 2.0 kcal/mol of atoms
Energy above the most stable polymorph in this dataset ... 0.134 eV per atom
SG ... C2/m, No. 12
Electronic total energy ... -6.3373 eV/atom


No. 6
A geometry-optimized Cd2SiP structure. Source: Alexandria, functional GGA-PBEsol.

Unit cell a=5.1509 b=5.1509 c=5.1509 alpha=131.83 beta=131.83 gamma=70.50
With the nearest neighbours (Å) after each atom.
Element x y z (fractional)
Cd1 0.0000 0.0000 0.0000  4 P 2.97, 4 Cd 2.97, 4 Si 2.97
Cd2 0.7500 0.2500 0.5000  4 Si 2.97, 4 Cd 2.97, 4 P 2.97
Si1 0.2500 0.7500 0.5000  8 Cd 2.97, 4 P 2.97
P1 0.5000 0.5000 0.0000  8 Cd 2.97, 4 Si 2.97

Computed properties:
E_form (uncorrected) ... 1.73 eV per formula unit
Energy above the most stable polymorph in this dataset ... 0.055 eV per atom
SG ... I-4m2, No. 119
Electronic total energy ... -3.0504 eV/atom


No. 7
A geometry-optimized KAg2Au structure. Source: Alexandria, functional GGA-PBEsol.

Unit cell a=10.3306 b=10.3306 c=10.3306 alpha=16.72 beta=16.72 gamma=16.72
With the nearest neighbours (Å) after each atom.
Element x y z (fractional)
K1 0.0000 0.0000 0.0000  6 K 3.00, 6 Ag 3.32
Ag1 0.2408 0.2408 0.2408  3 Au 2.85, 6 Ag 3.00
Ag2 0.7592 0.7592 0.7592  3 Au 2.85, 6 Ag 3.00
Au1 0.5000 0.5000 0.5000  6 Ag 2.85, 6 Au 3.00

Computed properties:
Energy of formation ... 6.5 kcal/mol of atoms
Energy above the most stable polymorph in this dataset ... 0.168 eV per atom
SG ... R-3m, No. 166
Electronic total energy ... -2.6369 eV/atom


No. 8
A geometry-optimized SrZr3Ga structure. Source: Alexandria, functional GGA-PBEsol.

Unit cell a=4.9953 b=4.9953 c=4.9953 alpha=90.00 beta=90.00 gamma=90.00
With the nearest neighbours (Å) after each atom.
Element x y z (fractional)
Sr1 0.0000 0.0000 0.0000  6 Zr 2.50
Zr1 0.0000 0.0000 0.5000  2 Sr 2.50
Zr2 0.0000 0.5000 0.0000  2 Sr 2.50
Zr3 0.5000 0.0000 0.0000  2 Sr 2.50
Ga1 0.5000 0.5000 0.5000  12 Zr 3.53

Computed properties:
Energy of formation ... 40.8 kcal/mol of atoms
SG ... Pm-3m, No. 221
Electronic total energy ... -4.7185 eV/atom


No. 9
A geometry-optimized CsGaFe3 structure. Source: Alexandria, functional GGA-PBEsol.

Unit cell a=4.7224 b=4.7224 c=4.7224 alpha=90.00 beta=90.00 gamma=90.00
With the nearest neighbours (Å) after each atom.
Element x y z (fractional)
Cs1 0.0000 0.0000 0.0000  12 Fe 3.34
Ga1 0.5000 0.5000 0.5000  6 Fe 2.36
Fe1 0.0000 0.5000 0.5000  2 Ga 2.36
Fe2 0.5000 0.0000 0.5000  2 Ga 2.36
Fe3 0.5000 0.5000 0.0000  2 Ga 2.36

Computed properties:
Energy of formation ... 30.6 kcal/mol of atoms
SG ... Pm-3m, No. 221
Electronic total energy ... -4.9063 eV/atom


No. 10
A geometry-optimized SrTiNiOs2 structure. Source: Alexandria, functional GGA-PBEsol.

Unit cell a=4.5062 b=4.5062 c=5.2170 alpha=90.00 beta=90.00 gamma=90.00
With the nearest neighbours (Å) after each atom.
Element x y z (fractional)
Sr1 0.0000 0.0000 0.0000  2 Ti 2.61
Ti1 0.0000 0.0000 0.5000  4 Os 2.25
Ni1 0.5000 0.5000 0.0000  4 Sr 3.19, 8 Os 3.45
Os1 0.0000 0.5000 0.5000  2 Ti 2.25
Os2 0.5000 0.0000 0.5000  2 Ti 2.25

Computed properties:
Energy of formation ... 40.7 kcal/mol of atoms
SG ... P4/mmm, No. 123
Electronic total energy ... -6.3851 eV/atom


No. 11
A geometry-optimized Y2MgW structure. Source: Alexandria, functional GGA-PBEsol.

Unit cell a=3.4241 b=3.4241 c=8.2803 alpha=90.00 beta=90.00 gamma=90.00
With the nearest neighbours (Å) after each atom.
Element x y z (fractional)
Y1 0.0000 0.0000 0.2097  4 W 2.98
Y2 0.0000 0.0000 0.7903  4 W 2.98
Mg1 0.5000 0.5000 0.5000  8 Y 3.41, 4 Mg 3.42
W1 0.5000 0.5000 0.0000  8 Y 2.98

Computed properties:
Energy of formation ... 7.4 kcal/mol of atoms
SG ... P4/mmm, No. 123
Electronic total energy ... -6.9714 eV/atom


No. 12
A geometry-optimized BeBiCl3 structure. Source: Alexandria, functional GGA-PBEsol.

Unit cell a=5.3763 b=5.3763 c=5.3763 alpha=90.00 beta=90.00 gamma=90.00
With the nearest neighbours (Å) after each atom.
Element x y z (fractional)
Be1 0.0000 0.0000 0.0000  12 Cl 3.80
Bi1 0.5000 0.5000 0.5000  6 Cl 2.69
Cl1 0.0000 0.5000 0.5000  2 Bi 2.69
Cl2 0.5000 0.0000 0.5000  2 Bi 2.69
Cl3 0.5000 0.5000 0.0000  2 Bi 2.69

Computed properties:
E_form (uncorrected) ... 0.25 eV per formula unit
SG ... Pm-3m, No. 221
Electronic total energy ... -2.8110 eV/atom